A plane-wave DFT calculation with meta-GGA SCAN was carried out for a PBEsol-optimized structure of Li3Mn2Ni5O12.

The structure in POSCAR format:
```
Li3Mn2Ni5O12
1.0
2.405 -4.343 0.000
2.405 4.343 0.000
-1.753 0.000 9.313
Li Mn Ni O
3 2 5 12
Direct
0.000 0.000 0.000
0.404 0.090 0.242
0.910 0.596 0.758
0.340 0.660 0.000
0.841 0.159 0.500
0.083 0.401 0.245
0.169 0.831 0.500
0.506 0.494 0.500
0.599 0.917 0.755
0.663 0.337 0.000
0.048 0.676 0.113
0.137 0.142 0.387
0.211 0.538 0.613
0.324 0.952 0.887
0.376 0.386 0.112
0.462 0.789 0.387
0.562 0.193 0.612
0.614 0.624 0.888
0.691 0.059 0.115
0.807 0.438 0.388
0.858 0.863 0.613
0.941 0.309 0.885
```

Values from the calculation:
- Final energy: -10.760 eV per atom
- SG: C2 (5)
- Total moment: 6.91 μB/f.u.
- E_form (uncorrected): -1.70 eV/atom
- N(E_F): 2.18 states/eV/cell